1.
A plane-wave DFT calculation with GGA-PBE was carried out for a relaxed NaZnH8Ir2 crystal.

The space group is No. 148. The calculated total energy comes out at -3.9171 eV/atom.

Geometry as CIF:
```
data_NaZnH8Ir2
_chemical_formula_sum 'Na1 Zn1 H8 Ir2'
_cell_length_a 4.5490
_cell_length_b 4.5490
_cell_length_c 6.6040
_cell_angle_alpha 69.85
_cell_angle_beta 69.85
_cell_angle_gamma 60.00
_space_group_name_H-M_alt 'P 1'
_space_group_IT_number 1
loop_
_space_group_symop_operation_xyz
'x,y,z'
loop_
_atom_site_label
_atom_site_type_symbol
_atom_site_fract_x
_atom_site_fract_y
_atom_site_fract_z
_atom_site_occupancy
Ir1 Ir 0.2877 0.2877 0.1370 1
Ir2 Ir 0.7123 0.7123 0.8630 1
H1 H 0.9405 0.6091 0.2279 1
H2 H 0.3909 0.7774 0.7721 1
H3 H 0.7774 0.0595 0.7721 1
H4 H 0.2002 0.2002 0.3993 1
H5 H 0.2226 0.9405 0.2279 1
H6 H 0.7998 0.7998 0.6007 1
H7 H 0.6091 0.2226 0.2279 1
H8 H 0.0595 0.3909 0.7721 1
Zn1 Zn 0.0000 0.0000 0.0000 1
Na1 Na 0.5000 0.5000 0.5000 1
```

2.
A plane-wave DFT calculation with GGA-PBE was carried out for a relaxed LaSe2Br crystal.

The space group is No. 166. The calculation puts the formation energy (no corrections) at 0.220 eV per atom. The calculated total energy comes out at -3.1720 eV/atom. Its offset from the most stable computed form is 37.486 kcal/mol of atoms.

Geometry as CIF:
```
data_LaSe2Br
_chemical_formula_sum 'La1 Se2 Br1'
_cell_length_a 9.8463
_cell_length_b 9.8463
_cell_length_c 9.8463
_cell_angle_alpha 22.97
_cell_angle_beta 22.97
_cell_angle_gamma 22.97
_space_group_name_H-M_alt 'P 1'
_space_group_IT_number 1
loop_
_space_group_symop_operation_xyz
'x,y,z'
loop_
_atom_site_label
_atom_site_type_symbol
_atom_site_fract_x
_atom_site_fract_y
_atom_site_fract_z
_atom_site_occupancy
La1 La 0.0000 0.0000 0.0000 1
Br1 Br 0.5000 0.5000 0.5000 1
Se1 Se 0.9044 0.9044 0.9044 1
Se2 Se 0.0956 0.0956 0.0956 1
```

3.
A plane-wave DFT calculation with GGA-PBE was carried out for a relaxed Li6MgGa12 crystal.

The space group is No. 148. The calculated total energy comes out at -2.7361 eV/atom. As for the formation energy: -0.1361 eV/atom.

Geometry as CIF:
```
data_Li6MgGa12
_chemical_formula_sum 'Li6 Mg1 Ga12'
_cell_length_a 7.5081
_cell_length_b 7.5081
_cell_length_c 7.5081
_cell_angle_alpha 107.80
_cell_angle_beta 107.80
_cell_angle_gamma 107.80
_space_group_name_H-M_alt 'P 1'
_space_group_IT_number 1
loop_
_space_group_symop_operation_xyz
'x,y,z'
loop_
_atom_site_label
_atom_site_type_symbol
_atom_site_fract_x
_atom_site_fract_y
_atom_site_fract_z
_atom_site_occupancy
Ga1 Ga 0.6606 0.9795 0.1248 1
Ga2 Ga 0.0205 0.8752 0.3394 1
Ga3 Ga 0.9831 0.6821 0.5990 1
Ga4 Ga 0.3394 0.0205 0.8752 1
Ga5 Ga 0.4010 0.0169 0.3179 1
Ga6 Ga 0.8752 0.3394 0.0205 1
Ga7 Ga 0.0169 0.3179 0.4010 1
Ga8 Ga 0.9795 0.1248 0.6606 1
Ga9 Ga 0.1248 0.6606 0.9795 1
Ga10 Ga 0.6821 0.5990 0.9831 1
Ga11 Ga 0.5990 0.9831 0.6821 1
Ga12 Ga 0.3179 0.4010 0.0169 1
Li1 Li 0.3684 0.6474 0.7460 1
Li2 Li 0.2540 0.6316 0.3526 1
Li3 Li 0.3526 0.2540 0.6316 1
Li4 Li 0.6316 0.3526 0.2540 1
Li5 Li 0.6474 0.7460 0.3684 1
Li6 Li 0.7460 0.3684 0.6474 1
Mg1 Mg 0.0000 0.0000 0.0000 1
```

4.
A plane-wave DFT calculation with GGA-PBE was carried out for a relaxed Ca2TlCl crystal.

The space group is No. 122. The calculation puts the formation energy (no corrections) at -0.849 eV per atom. The calculated total energy comes out at -2.9031 eV/atom. Its offset from the most stable computed form is 4.748 kcal/mol of atoms.

Geometry as CIF:
```
data_Ca2TlCl
_chemical_formula_sum 'Ca4 Tl2 Cl2'
_cell_length_a 7.8599
_cell_length_b 7.8599
_cell_length_c 6.9611
_cell_angle_alpha 55.63
_cell_angle_beta 55.63
_cell_angle_gamma 90.00
_space_group_name_H-M_alt 'P 1'
_space_group_IT_number 1
loop_
_space_group_symop_operation_xyz
'x,y,z'
loop_
_atom_site_label
_atom_site_type_symbol
_atom_site_fract_x
_atom_site_fract_y
_atom_site_fract_z
_atom_site_occupancy
Cl1 Cl 0.5000 0.5000 0.0000 1
Cl2 Cl 0.2500 0.7500 0.5000 1
Ca1 Ca 0.3750 0.4116 0.7500 1
Ca2 Ca 0.5884 0.1250 0.2500 1
Ca3 Ca 0.1616 0.6250 0.2500 1
Ca4 Ca 0.8750 0.8384 0.7500 1
Tl1 Tl 0.0000 0.0000 0.0000 1
Tl2 Tl 0.7500 0.2500 0.5000 1
```

5.
A plane-wave DFT calculation with GGA-PBE was carried out for a relaxed Th3Sn3Rh2 crystal.

The space group is No. 62. The calculated total energy comes out at -6.8626 eV/atom. As for the formation energy: -0.7412 eV/atom.

Geometry as CIF:
```
data_Th3Sn3Rh2
_chemical_formula_sum 'Th12 Sn12 Rh8'
_cell_length_a 5.9784
_cell_length_b 8.4483
_cell_length_c 15.7636
_cell_angle_alpha 90.00
_cell_angle_beta 90.00
_cell_angle_gamma 90.00
_space_group_name_H-M_alt 'P 1'
_space_group_IT_number 1
loop_
_space_group_symop_operation_xyz
'x,y,z'
loop_
_atom_site_label
_atom_site_type_symbol
_atom_site_fract_x
_atom_site_fract_y
_atom_site_fract_z
_atom_site_occupancy
Rh1 Rh 0.1353 0.9061 0.6146 1
Rh2 Rh 0.6353 0.5939 0.3854 1
Rh3 Rh 0.3647 0.4061 0.6146 1
Rh4 Rh 0.8647 0.0939 0.1146 1
Rh5 Rh 0.1353 0.9061 0.8854 1
Rh6 Rh 0.8647 0.0939 0.3854 1
Rh7 Rh 0.3647 0.4061 0.8854 1
Rh8 Rh 0.6353 0.5939 0.1146 1
Sn1 Sn 0.3711 0.6805 0.2500 1
Sn2 Sn 0.6289 0.3195 0.7500 1
Sn3 Sn 0.3993 0.6866 0.5343 1
Sn4 Sn 0.8993 0.8134 0.4657 1
Sn5 Sn 0.1289 0.1805 0.2500 1
Sn6 Sn 0.1007 0.1866 0.9657 1
Sn7 Sn 0.1007 0.1866 0.5343 1
Sn8 Sn 0.6007 0.3134 0.0343 1
Sn9 Sn 0.8711 0.8195 0.7500 1
Sn10 Sn 0.8993 0.8134 0.0343 1
Sn11 Sn 0.6007 0.3134 0.4657 1
Sn12 Sn 0.3993 0.6866 0.9657 1
Th1 Th 0.1060 0.4677 0.1111 1
Th2 Th 0.6328 0.3308 0.2500 1
Th3 Th 0.3940 0.9677 0.3889 1
Th4 Th 0.3940 0.9677 0.1111 1
Th5 Th 0.1060 0.4677 0.3889 1
Th6 Th 0.3672 0.6692 0.7500 1
Th7 Th 0.1328 0.1692 0.7500 1
Th8 Th 0.8940 0.5323 0.6111 1
Th9 Th 0.8940 0.5323 0.8889 1
Th10 Th 0.6060 0.0323 0.6111 1
Th11 Th 0.8672 0.8308 0.2500 1
Th12 Th 0.6060 0.0323 0.8889 1
```

6.
A plane-wave DFT calculation with GGA-PBE was carried out for a relaxed ScRe2Br crystal.

The space group is No. 10. The calculation puts the formation energy (no corrections) at 0.411 eV per atom. The calculated total energy comes out at -7.8140 eV/atom. Its offset from the most stable computed form is 11.266 kcal/mol of atoms.

Geometry as CIF:
```
data_ScRe2Br
_chemical_formula_sum 'Sc1 Re2 Br1'
_cell_length_a 5.2046
_cell_length_b 3.0579
_cell_length_c 4.4902
_cell_angle_alpha 92.37
_cell_angle_beta 90.00
_cell_angle_gamma 90.00
_space_group_name_H-M_alt 'P 1'
_space_group_IT_number 1
loop_
_space_group_symop_operation_xyz
'x,y,z'
loop_
_atom_site_label
_atom_site_type_symbol
_atom_site_fract_x
_atom_site_fract_y
_atom_site_fract_z
_atom_site_occupancy
Br1 Br 0.5000 0.7500 0.7500 1
Sc1 Sc 0.5000 0.2500 0.2500 1
Re1 Re 0.0000 0.5606 0.4867 1
Re2 Re 0.0000 0.9394 0.0133 1
```

7.
A plane-wave DFT calculation with GGA-PBE was carried out for a relaxed KUTe3Se crystal.

The space group is No. 11. The calculation puts the formation energy (no corrections) at -0.696 eV per atom. The calculated total energy comes out at -4.9114 eV/atom.

Geometry as CIF:
```
data_KUTe3Se
_chemical_formula_sum 'K2 U2 Te6 Se2'
_cell_length_a 4.2153
_cell_length_b 8.9997
_cell_length_c 11.1863
_cell_angle_alpha 106.82
_cell_angle_beta 90.00
_cell_angle_gamma 90.00
_space_group_name_H-M_alt 'P 1'
_space_group_IT_number 1
loop_
_space_group_symop_operation_xyz
'x,y,z'
loop_
_atom_site_label
_atom_site_type_symbol
_atom_site_fract_x
_atom_site_fract_y
_atom_site_fract_z
_atom_site_occupancy
Te1 Te 0.7500 0.3627 0.5663 1
Te2 Te 0.7500 0.4205 0.1171 1
Te3 Te 0.2500 0.6373 0.4337 1
Te4 Te 0.2500 0.0941 0.8962 1
Te5 Te 0.2500 0.5795 0.8829 1
Te6 Te 0.7500 0.9059 0.1038 1
U1 U 0.2500 0.6801 0.1823 1
U2 U 0.7500 0.3199 0.8177 1
Se1 Se 0.2500 0.1394 0.6735 1
Se2 Se 0.7500 0.8606 0.3265 1
K1 K 0.7500 0.7758 0.7002 1
K2 K 0.2500 0.2242 0.2998 1
```

8.
A plane-wave DFT calculation with GGA-PBE was carried out for a relaxed Sc4Al16Co3 crystal.

The space group is No. 123. The calculated total energy comes out at -5.1128 eV/atom. As for the formation energy: -0.4813 eV/atom.

Geometry as CIF:
```
data_Sc4Al16Co3
_chemical_formula_sum 'Sc4 Al16 Co3'
_cell_length_a 5.8922
_cell_length_b 5.8922
_cell_length_c 10.8866
_cell_angle_alpha 90.00
_cell_angle_beta 90.00
_cell_angle_gamma 90.00
_space_group_name_H-M_alt 'P 1'
_space_group_IT_number 1
loop_
_space_group_symop_operation_xyz
'x,y,z'
loop_
_atom_site_label
_atom_site_type_symbol
_atom_site_fract_x
_atom_site_fract_y
_atom_site_fract_z
_atom_site_occupancy
Al1 Al 0.0000 0.0000 0.7877 1
Al2 Al 0.2499 0.2499 0.6191 1
Al3 Al 0.2499 0.7501 0.3809 1
Al4 Al 0.7254 0.7254 0.0000 1
Al5 Al 0.5000 0.5000 0.1938 1
Al6 Al 0.7501 0.7501 0.6191 1
Al7 Al 0.7501 0.2499 0.6191 1
Al8 Al 0.2499 0.7501 0.6191 1
Al9 Al 0.7254 0.2746 0.0000 1
Al10 Al 0.2499 0.2499 0.3809 1
Al11 Al 0.7501 0.7501 0.3809 1
Al12 Al 0.2746 0.2746 0.0000 1
Al13 Al 0.0000 0.0000 0.2123 1
Al14 Al 0.7501 0.2499 0.3809 1
Al15 Al 0.5000 0.5000 0.8062 1
Al16 Al 0.2746 0.7254 0.0000 1
Co1 Co 0.0000 0.5000 0.5000 1
Co2 Co 0.0000 0.0000 0.0000 1
Co3 Co 0.5000 0.0000 0.5000 1
Sc1 Sc 0.5000 0.0000 0.1920 1
Sc2 Sc 0.0000 0.5000 0.1920 1
Sc3 Sc 0.0000 0.5000 0.8080 1
Sc4 Sc 0.5000 0.0000 0.8080 1
```

9.
A plane-wave DFT calculation with GGA-PBE was carried out for a relaxed LaTmMgCd crystal.

The space group is No. 99. The calculated total energy comes out at -3.1715 eV/atom. As for the formation energy: -0.1944 eV/atom. Its offset from the most stable computed form is 0.000 kcal/mol of atoms.

Geometry as CIF:
```
data_LaTmMgCd
_chemical_formula_sum 'La1 Tm1 Mg1 Cd1'
_cell_length_a 3.7639
_cell_length_b 3.7639
_cell_length_c 7.9588
_cell_angle_alpha 90.00
_cell_angle_beta 90.00
_cell_angle_gamma 90.00
_space_group_name_H-M_alt 'P 1'
_space_group_IT_number 1
loop_
_space_group_symop_operation_xyz
'x,y,z'
loop_
_atom_site_label
_atom_site_type_symbol
_atom_site_fract_x
_atom_site_fract_y
_atom_site_fract_z
_atom_site_occupancy
Mg1 Mg 0.0000 0.0000 0.8797 1
Cd1 Cd 0.0000 0.0000 0.3295 1
Tm1 Tm 0.5000 0.5000 0.1121 1
La1 La 0.5000 0.5000 0.6067 1
```

10.
A plane-wave DFT calculation with GGA-PBE was carried out for a relaxed Ca2VGa2 crystal.

The space group is No. 127. The calculated total energy comes out at -3.8925 eV/atom. As for the formation energy: -0.0574 eV/atom.

Geometry as CIF:
```
data_Ca2VGa2
_chemical_formula_sum 'Ca4 V2 Ga4'
_cell_length_a 7.0985
_cell_length_b 7.0985
_cell_length_c 4.7425
_cell_angle_alpha 90.00
_cell_angle_beta 90.00
_cell_angle_gamma 90.00
_space_group_name_H-M_alt 'P 1'
_space_group_IT_number 1
loop_
_space_group_symop_operation_xyz
'x,y,z'
loop_
_atom_site_label
_atom_site_type_symbol
_atom_site_fract_x
_atom_site_fract_y
_atom_site_fract_z
_atom_site_occupancy
Ga1 Ga 0.6347 0.1347 0.0000 1
Ga2 Ga 0.1347 0.3653 0.0000 1
Ga3 Ga 0.8653 0.6347 0.0000 1
Ga4 Ga 0.3653 0.8653 0.0000 1
V1 V 0.5000 0.5000 0.0000 1
V2 V 0.0000 0.0000 0.0000 1
Ca1 Ca 0.8260 0.3260 0.5000 1
Ca2 Ca 0.3260 0.1740 0.5000 1
Ca3 Ca 0.6740 0.8260 0.5000 1
Ca4 Ca 0.1740 0.6740 0.5000 1
```

> What is the calculated total energy in the fifth record?

-6.8626 eV/atom

> Which value of calculated total energy does entry 6 give?

-7.8140 eV/atom